# Ho12TmSc2

A relaxed structure of Ho12TmSc2 (PBE, the Alexandria database).

POSCAR file:
```
Ho12TmSc2
1.0
-2.361 -2.598 -5.211
-5.087 -1.815 3.210
-11.154 21.363 -5.596
Ho Sc Tm
24 4 2
Direct
0.000 0.000 0.663
0.500 0.500 0.337
0.170 0.670 0.561
0.750 0.250 0.889
0.500 0.500 0.215
0.250 0.750 0.111
0.750 0.750 0.111
0.830 0.670 0.439
0.830 0.330 0.561
0.250 0.750 0.889
0.000 0.000 0.337
0.670 0.170 0.439
0.330 0.830 0.439
0.250 0.250 0.889
0.170 0.330 0.439
0.750 0.750 0.889
0.000 0.000 0.215
0.750 0.250 0.111
0.250 0.250 0.111
0.670 0.830 0.561
0.330 0.170 0.561
0.000 0.000 0.785
0.500 0.500 0.663
0.500 0.500 0.785
0.500 0.000 0.727
0.500 0.000 0.273
0.000 0.500 0.727
0.000 0.500 0.273
0.500 0.000 0.000
0.000 0.500 0.000
```

Output
DFT formation energy in eV/atom: 0.423
Symmetry: P4/nbm (125)

# HoEr3Pb2

A relaxed structure of HoEr3Pb2 (PBE, the Alexandria database).

POSCAR file:
```
HoEr3Pb2
1.0
-0.118 -4.665 -1.462
7.822 1.005 -3.837
-0.280 -0.362 9.359
Pb Er Ho
4 6 2
Direct
0.652 0.651 0.303
0.348 0.849 0.697
0.652 0.151 0.303
0.348 0.349 0.697
0.826 0.076 0.651
0.174 0.424 0.349
0.500 0.250 0.000
0.174 0.924 0.349
0.826 0.576 0.651
0.500 0.750 0.000
0.000 0.000 0.000
0.000 0.500 0.000
```

Output
DFT formation energy in eV/atom: -0.341
Symmetry: Cmmm (65)
Energy above the most stable polymorph in this dataset in eV per atom: 0.055

# Ni2PRuCl

A relaxed structure of Ni2PRuCl (PBE, the Alexandria database).

POSCAR file:
```
Ni2PRuCl
1.0
4.132 0.000 0.000
0.000 4.987 0.000
0.000 0.000 4.132
Ni Ru Cl P
2 1 1 1
Direct
0.500 0.000 0.000
0.000 0.000 0.500
0.500 0.500 0.500
0.000 0.500 0.000
0.000 0.000 0.000
```

Output
Symmetry: P4/mmm (123)
Raw total energy in eV per atom: -4.7923

# TiTl2Ni

A relaxed structure of TiTl2Ni (PBE, the Alexandria database).

POSCAR file:
```
TiTl2Ni
1.0
1.506 -0.353 4.481
-1.662 2.970 3.300
-2.931 -1.597 3.367
Tl Ni Ti
2 1 1
Direct
0.250 0.250 0.250
0.750 0.750 0.750
0.500 0.500 0.500
0.000 0.000 0.000
```

Output
DFT formation energy in eV/atom: 0.320
Symmetry: Fm-3m (225)
Energy above the most stable polymorph in this dataset in eV per atom: 0.000

# BaLiCl2

A relaxed structure of BaLiCl2 (PBE, the Alexandria database).

POSCAR file:
```
BaLiCl2
1.0
-1.816 5.296 3.055
0.837 -2.941 5.596
5.569 3.172 4.469
Cl Li Ba
4 2 2
Direct
0.233 0.625 0.250
0.375 0.483 0.750
0.517 0.125 0.250
0.875 0.767 0.750
0.500 0.500 0.000
0.250 0.750 0.500
0.000 0.000 0.000
0.750 0.250 0.500
```

Output
Symmetry: I-42d (122)
Energy above the most stable polymorph in this dataset in eV per atom: 0.105

# NaTeSeS

A relaxed structure of NaTeSeS (PBE, the Alexandria database).

POSCAR file:
```
NaTeSeS
1.0
-3.323 0.121 -4.780
3.473 -3.534 3.058
-4.121 0.011 3.870
Te S Na Se
1 1 1 1
Direct
0.783 0.183 0.967
0.021 0.996 0.018
0.767 0.684 0.451
0.514 0.984 0.498
```

Output
Symmetry: Cm (8)
Raw total energy in eV per atom: -3.4462

# PmYTe2

A relaxed structure of PmYTe2 (PBE, the Alexandria database).

POSCAR file:
```
PmYTe2
1.0
5.413 0.000 0.000
2.706 4.688 0.000
2.706 1.563 4.419
Y Te Pm
1 2 1
Direct
0.500 0.500 0.500
0.750 0.750 0.750
0.250 0.250 0.250
0.000 0.000 0.000
```

Output
Symmetry: Fm-3m (225)
Energy above the most stable polymorph in this dataset in eV per atom: 0.149

# TmZnSn2

A relaxed structure of TmZnSn2 (PBE, the Alexandria database).

POSCAR file:
```
TmZnSn2
1.0
-1.756 3.147 2.415
-2.579 -2.912 1.920
6.772 -1.478 6.852
Sn Tm Zn
4 2 2
Direct
0.500 0.500 0.000
0.500 0.000 0.688
0.000 0.500 0.312
0.000 0.000 0.000
0.000 0.500 0.750
0.500 0.000 0.250
0.500 0.500 0.500
0.000 0.000 0.500
```

Output
DFT formation energy in eV/atom: -0.409
Symmetry: P4/nmm (129)
Energy above the most stable polymorph in this dataset in eV per atom: 0.000

Question: Which formula does entry 3 have?
Answer: Ni2PRuCl

Question: Which formula does entry 2 have?
Answer: HoEr3Pb2

Question: Number 2 is which compound?
Answer: HoEr3Pb2